# 1
Density functional theory data (GGA-PBE) for crystalline ZrCoReSi2 at its relaxed geometry.

extended XYZ file:
```
5
Lattice="4.2516 0.0000 0.0000 0.0000 4.2516 0.0000 0.0000 0.0000 4.5826" Properties=species:S:1:pos:R:3 pbc="T T T"
Zr 0.0000 0.0000 0.0000
Co 2.1258 2.1258 2.2913
Re 2.1258 2.1258 0.0000
Si 0.0000 2.1258 2.2913
Si 2.1258 0.0000 2.2913
```

Results
The energy relative to the elements, uncorrected is 0.448 eV per atom.



# 2
Density functional theory data (GGA-PBE) for crystalline SmCo2Re at its relaxed geometry.

extended XYZ file:
```
4
Lattice="2.0444 1.1804 4.9530 -2.0444 1.1804 4.9530 0.0000 -2.3607 4.9530" Properties=species:S:1:pos:R:3 pbc="T T T"
Sm 0.0000 0.0000 0.0000
Co 0.0000 0.0000 2.9387
Co 0.0000 0.0000 11.9203
Re 0.0000 0.0000 7.4295
```

Results
As for the energy of formation: -0.002 eV/atom.



# 3
Density functional theory data (GGA-PBE) for crystalline CoReSn2 at its relaxed geometry.

extended XYZ file:
```
8
Lattice="-3.5941 3.5941 2.9098 3.5941 -3.5941 2.9098 3.5941 3.5941 -2.9098" Properties=species:S:1:pos:R:3 pbc="T T T"
Co 0.0000 0.0000 0.0000
Co 0.0000 3.5941 1.4549
Re 3.5941 0.0000 1.4549
Re 0.0000 0.0000 2.9098
Sn 5.3912 1.6068 -0.7274
Sn 1.6068 1.7971 0.7274
Sn -1.7971 1.9873 2.1823
Sn 1.9873 1.7971 3.6372
```

Results
As for the energy of formation: 0.901 eV/atom.



# 4
Density functional theory data (GGA-PBE) for crystalline CoReSn2 at its relaxed geometry.

extended XYZ file:
```
4
Lattice="0.0000 3.2254 3.2254 3.2254 0.0000 3.2254 3.2254 3.2254 0.0000" Properties=species:S:1:pos:R:3 pbc="T T T"
Co 0.0000 0.0000 0.0000
Re 3.2254 3.2254 3.2254
Sn 1.6127 1.6127 1.6127
Sn 4.8380 4.8380 4.8380
```

Results
As for the energy of formation: 0.415 eV/atom.



# 5
Density functional theory data (GGA-PBE) for crystalline CoRe3Sn at its relaxed geometry.

extended XYZ file:
```
5
Lattice="4.4640 0.0000 0.0000 0.0000 4.4640 0.0000 0.0000 0.0000 4.4640" Properties=species:S:1:pos:R:3 pbc="T T T"
Co 0.0000 0.0000 0.0000
Re 0.0000 0.0000 2.2320
Re 0.0000 2.2320 0.0000
Re 2.2320 0.0000 0.0000
Sn 2.2320 2.2320 2.2320
```

Results
As for the energy of formation: 1.525 eV/atom.



# 6
Density functional theory data (GGA-PBE) for crystalline TiCoReSn at its relaxed geometry.

extended XYZ file:
```
4
Lattice="0.0000 3.1253 3.1253 3.1253 0.0000 3.1253 3.1253 3.1253 0.0000" Properties=species:S:1:pos:R:3 pbc="T T T"
Ti 0.0000 0.0000 0.0000
Co 1.5626 1.5626 1.5626
Re 4.6879 4.6879 4.6879
Sn 3.1253 3.1253 3.1253
```

Results
As for the energy of formation: -0.120 eV/atom.



# 7
Density functional theory data (GGA-PBE) for crystalline TlCoRe2Sn at its relaxed geometry.

extended XYZ file:
```
5
Lattice="5.0591 0.0000 0.0000 0.0000 5.0591 0.0000 0.0000 0.0000 4.6975" Properties=species:S:1:pos:R:3 pbc="T T T"
Tl 0.0000 0.0000 0.0000
Co 0.0000 0.0000 2.3488
Re 0.0000 2.5296 0.0000
Re 2.5296 0.0000 0.0000
Sn 2.5296 2.5296 2.3488
```

Results
As for the energy of formation: 2.487 eV/atom.



# 8
Density functional theory data (GGA-PBE) for crystalline SrCoRe2 at its relaxed geometry.

extended XYZ file:
```
4
Lattice="1.3962 0.8061 9.8557 -1.3962 0.8061 9.8557 0.0000 -1.6121 9.8557" Properties=species:S:1:pos:R:3 pbc="T T T"
Sr 0.0000 0.0000 0.0000
Co 0.0000 0.0000 14.7835
Re 0.0000 0.0000 6.9439
Re 0.0000 0.0000 22.6231
```

Results
As for the energy of formation: 0.923 eV/atom.



# 9
Density functional theory data (GGA-PBE) for crystalline SrCoRe2 at its relaxed geometry.

extended XYZ file:
```
4
Lattice="3.7488 0.0000 0.0000 0.0000 3.7488 0.0000 0.0000 0.0000 5.0241" Properties=species:S:1:pos:R:3 pbc="T T T"
Sr 0.0000 0.0000 0.0000
Co 1.8744 1.8744 0.0000
Re 0.0000 1.8744 2.5121
Re 1.8744 0.0000 2.5121
```

Results
As for the energy of formation: 1.151 eV/atom.



# 10
Density functional theory data (GGA-PBE) for crystalline SrCoRe at its relaxed geometry.

extended XYZ file:
```
6
Lattice="-1.9776 5.0554 3.4194 1.9776 -5.0554 3.4194 1.9776 5.0554 -3.4194" Properties=species:S:1:pos:R:3 pbc="T T T"
Sr 0.0000 0.0000 0.0000
Sr 0.0000 5.0554 0.0000
Co 1.9776 2.5277 1.3050
Co 0.0000 2.5277 2.1144
Re 1.9776 2.5277 -1.0044
Re 0.0000 2.5277 4.4238
```

Results
As for the energy of formation: 0.474 eV/atom.



# 11
Density functional theory data (GGA-PBE) for crystalline SrCoRe at its relaxed geometry.

extended XYZ file:
```
3
Lattice="3.9477 0.0000 0.0000 -1.9739 3.4188 0.0000 0.0000 0.0000 5.0149" Properties=species:S:1:pos:R:3 pbc="T T T"
Sr 0.0000 0.0000 0.0000
Co 1.9739 1.1396 2.5075
Re 0.0000 2.2792 2.5075
```

Results
As for the energy of formation: 0.518 eV/atom.



# 12
Density functional theory data (GGA-PBE) for crystalline SrCoRe at its relaxed geometry.

extended XYZ file:
```
6
Lattice="4.2877 0.0000 0.0000 0.0000 4.2097 0.0000 -0.3227 0.0000 7.9118" Properties=species:S:1:pos:R:3 pbc="T T T"
Sr 0.0000 0.0000 0.0000
Sr 1.8841 2.1048 5.1181
Co 0.0445 2.1048 2.5688
Co 3.7981 0.0000 3.6738
Re 1.7167 0.0000 2.6617
Re 2.3112 2.1048 1.5161
```

Results
As for the energy of formation: 0.371 eV/atom.